VASP calculation (PBE) on MnPb2W after structural relaxation.

Cell: 9.4666 9.4666 9.4666 Å, 19.64 19.64 19.64°
Fractional positions:
Mn: 0.7500 0.7500 0.7500
Pb: 0.5006 0.5006 0.5006
W: 0.2500 0.2500 0.2500
Pb: 0.9994 0.9994 0.9994

## Properties
Space-group type: R-3m, No. 166
E_form (eV/atom): 0.91
V (Å³ per cell): 84
Excess energy over the best structure of this formula in the dataset (meV/atom): 483
M_tot (μB/atom): 1.037